Entry from Alexandria: an optimized crystal structure of YHfAs3 (PBE).

a = 5.2329 Å, b = 5.2329 Å, c = 5.2329 Å
α = 90.00°, β = 90.00°, γ = 90.00°
Closest atoms and distances in Å follow each position.
Space group Pm-3m (No. 221)
Inequivalent atoms, fractional coordinates:
Y (0.0000, 0.0000, 0.0000)  6 As 2.62
Hf (0.5000, 0.5000, 0.5000)  12 As 3.70
As (0.0000, 0.0000, 0.5000)  2 Y 2.62

Properties
E_tot = -5.43 eV per atom
density = 5.7 g/cm³
formation energy = 645 meV/atom
distance to the lowest polymorph of the same formula = 0.9561 eV/atom

***

Entry from Alexandria: an optimized crystal structure of Dy8Y6Sc (PBE).

a = 6.1852 Å, b = 8.7728 Å, c = 9.4454 Å
α = 76.62°, β = 70.99°, γ = 83.27°
Closest atoms and distances in Å follow each position.
Space group P-1 (No. 2)
Inequivalent atoms, fractional coordinates:
Dy (0.0422, 0.3308, 0.1323)  1 Sc 3.48, 5 Dy 3.49-3.59, 6 Y 3.49-3.61
Dy (0.1542, 0.6662, 0.4693)  7 Dy 3.50-3.56, 5 Y 3.52-3.60
Dy (0.2004, 0.9997, 0.6016)  7 Dy 3.49-3.59, 4 Y 3.51-3.60, 1 Sc 3.56
Dy (0.4413, 0.3341, 0.3352)  7 Dy 3.50-3.59, 5 Y 3.52-3.59
Y (0.2435, 0.3319, 0.7364)  1 Sc 3.49, 8 Dy 3.51-3.60, 3 Y 3.51-3.58
Y (0.3507, 0.6662, 0.0662)  1 Sc 3.50, 6 Dy 3.51-3.61, 5 Y 3.52-3.58
Y (0.3987, 0.0004, 0.1986)  6 Dy 3.49-3.60, 4 Y 3.51-3.55, 2 Sc 3.55-3.58
Sc (0.0000, 0.0000, 0.0000)  4 Dy 3.48-3.56, 8 Y 3.49-3.58

Properties
E_tot = -5.45 eV per atom
density = 6.6 g/cm³
formation energy = 11 meV/atom
distance to the lowest polymorph of the same formula = 0.0000 eV/atom